# 1
# ScIN2O (GGA-PBEsol, optimized geometry)
data_ScIN2O
_cell_length_a 4.1039
_cell_length_b 4.1039
_cell_length_c 3.9501
_cell_angle_alpha 90.00
_cell_angle_beta 90.00
_cell_angle_gamma 90.00
_symmetry_space_group_name_H-M 'P 1'
_symmetry_Int_Tables_number 1
loop_
_symmetry_equiv_pos_as_xyz
'x,y,z'
loop_
_atom_site_label
_atom_site_fract_x
_atom_site_fract_y
_atom_site_fract_z
Sc1 0.0000 0.0000 0.0000
I1 0.5000 0.5000 0.0000
N1 0.0000 0.5000 0.5000
N2 0.5000 0.0000 0.5000
O1 0.5000 0.5000 0.5000
# - formation energy from raw total energies (eV/atom) = 1.15
# - Fermi-level density of states (states/eV/cell) = 2.80
# - size of the total moment (Bohr magnetons per cell) = 0.0


# 2
# Sb2MoPt (GGA-PBEsol, optimized geometry)
data_Sb2MoPt
_cell_length_a 4.1311
_cell_length_b 3.5418
_cell_length_c 10.4544
_cell_angle_alpha 90.00
_cell_angle_beta 90.00
_cell_angle_gamma 90.00
_symmetry_space_group_name_H-M 'P 1'
_symmetry_Int_Tables_number 1
loop_
_symmetry_equiv_pos_as_xyz
'x,y,z'
loop_
_atom_site_label
_atom_site_fract_x
_atom_site_fract_y
_atom_site_fract_z
Sb1 0.0000 0.0000 0.0000
Sb2 0.0000 0.5000 0.5000
Sb3 0.5000 0.0000 0.2942
Sb4 0.5000 0.5000 0.7942
Mo1 0.0000 0.0000 0.7190
Mo2 0.0000 0.5000 0.2190
Pt1 0.5000 0.0000 0.5489
Pt2 0.5000 0.5000 0.0489
# - formation energy from raw total energies (eV/atom) = -0.08
# - Fermi-level density of states (states/eV/cell) = 5.29
# - size of the total moment (Bohr magnetons per cell) = 0.0


# 3
# Zr2Sn2Os (GGA-PBEsol, optimized geometry)
data_Zr2Sn2Os
_cell_length_a 3.8348
_cell_length_b 3.8348
_cell_length_c 14.2859
_cell_angle_alpha 90.00
_cell_angle_beta 90.00
_cell_angle_gamma 90.00
_symmetry_space_group_name_H-M 'P 1'
_symmetry_Int_Tables_number 1
loop_
_symmetry_equiv_pos_as_xyz
'x,y,z'
loop_
_atom_site_label
_atom_site_fract_x
_atom_site_fract_y
_atom_site_fract_z
Zr1 0.0000 0.5000 0.2500
Zr2 0.0000 0.5000 0.7500
Zr3 0.5000 0.0000 0.2500
Zr4 0.5000 0.0000 0.7500
Sn1 0.0000 0.0000 0.0916
Sn2 0.0000 0.0000 0.9084
Sn3 0.5000 0.5000 0.4084
Sn4 0.5000 0.5000 0.5916
Os1 0.0000 0.0000 0.5000
Os2 0.5000 0.5000 0.0000
# - DFT formation energy (eV per atom) = 0.734
# - Fermi-level density of states (states/eV/cell) = 14.06
# - size of the total moment (Bohr magnetons per cell) = 0.9